Computed, not measured: an optimized crystal structure of K5Mo2F12 at the GGA+U level of DFT.

The structure in extended XYZ format:
```
19
Lattice="6.4869 -3.9125 0.0000 6.4869 3.9125 0.0000 -1.1132 0.0000 6.3966" Properties=species:S:1:pos:R:3 pbc="T T T"
K 0.0000 0.0000 0.0000
K 2.5501 0.0000 3.1392
K 3.5797 0.0000 6.3383
K 8.2810 0.0000 0.0582
K 9.3106 0.0000 3.2574
Mo 5.9303 1.9503 3.1983
Mo 5.9303 -1.9503 3.1983
F 0.0086 0.0000 4.1849
F 4.3864 2.1923 4.6257
F 4.2370 1.6867 1.9671
F 7.4743 2.1923 1.7708
F 7.6237 1.6867 4.4295
F 5.5926 0.0000 4.3334
F 6.2681 0.0000 2.0632
F 4.2370 -1.6867 1.9671
F 4.3864 -2.1923 4.6257
F 7.6237 -1.6867 4.4295
F 7.4743 -2.1923 1.7708
F 11.8520 0.0000 2.2117
```

- VASP energy: -91.70 eV/cell
- D(E_F): 1.50 states/eV/f.u.